1.
18
Lattice="5.093 0.000 0.000 1.864 4.768 0.000 0.972 2.263 7.209" Properties=species:S:1:pos:R:3 comment="Li4CoO4, relaxed, DFT PBE+U" sg="No. 2" pbc="T T T"
Li 1.563 0.981 1.482
Li 3.587 5.982 4.108
Li 2.708 3.652 2.970
Li 3.643 5.799 7.165
Li 4.287 1.233 0.044
Li 5.221 3.379 4.239
Li 4.342 1.049 3.101
Li 6.366 6.050 5.727
Co 2.501 3.353 5.545
Co 5.429 3.678 1.664
O 1.020 2.367 5.816
O 1.953 4.709 4.497
O 3.328 3.842 7.028
O 3.476 2.338 4.401
O 4.454 4.694 2.808
O 4.601 3.189 0.181
O 5.976 2.323 2.711
O 6.909 4.664 1.393

---

2.
18
Lattice="3.885 -3.649 0.000 3.885 3.649 0.000 0.000 0.000 6.099" Properties=species:S:1:pos:R:3 comment="Li4CoO4, relaxed, DFT PBE+U" sg="No. 63" pbc="T T T"
Li 2.718 1.987 4.574
Li 2.639 0.000 0.000
Li 2.639 0.000 3.049
Li 5.052 1.987 4.574
Li 2.718 -1.987 1.525
Li 5.131 0.000 0.000
Li 5.131 0.000 3.049
Li 5.052 -1.987 1.525
Co 3.885 2.474 1.525
Co 3.885 -2.474 4.574
O 1.541 0.258 4.574
O 1.541 -0.258 1.525
O 3.885 1.486 0.011
O 3.885 1.486 3.038
O 3.885 -1.486 3.061
O 3.885 -1.486 6.088
O 6.229 0.258 4.574
O 6.229 -0.258 1.525

---

3.
18
Lattice="3.597 0.000 0.000 0.000 8.066 0.000 -1.755 0.000 6.292" Properties=species:S:1:pos:R:3 comment="Li4CoO4, relaxed, DFT PBE+U" sg="No. 11" pbc="T T T"
Li 0.000 0.000 0.000
Li 0.000 4.033 0.000
Li -0.041 2.016 1.790
Li 0.035 4.219 3.902
Li 0.035 7.880 3.902
Li 1.807 0.186 2.390
Li 1.807 3.847 2.390
Li 1.883 6.049 4.502
Co 0.095 6.049 1.842
Co 1.748 2.016 4.450
O 0.280 6.049 0.122
O 0.000 4.234 1.890
O 0.000 7.865 1.890
O 0.095 6.049 3.639
O 1.748 2.016 2.653
O 1.843 0.201 4.402
O 1.843 3.832 4.402
O 1.562 2.016 6.170

---

Computed relative energies in units of meV per atom: 1 0; 2 9; 3 55

---

1.
9
Lattice="2.364 -4.117 0.000 2.364 4.117 0.000 -1.238 0.000 4.588" Properties=species:S:1:pos:R:3 comment="LiCo2O6, relaxed, DFT PBE+U" sg="No. 5" pbc="T T T"
Li 0.000 0.000 0.000
Co 1.745 0.437 2.294
Co 1.745 -2.299 2.294
O 0.855 1.607 1.242
O 0.246 0.549 3.292
O 1.085 -0.965 1.297
O 2.635 1.607 3.346
O 3.244 0.549 1.296
O 2.405 -0.965 3.291

---

2.
9
Lattice="2.382 -4.086 0.000 2.382 4.086 0.000 -2.046 0.000 4.608" Properties=species:S:1:pos:R:3 comment="LiCo2O6, relaxed, DFT PBE+U" sg="No. 12" pbc="T T T"
Li 0.000 0.000 0.000
Co 1.359 2.718 2.304
Co 1.359 -2.718 2.304
O 0.487 1.471 1.307
O -0.442 0.000 3.340
O 0.487 -1.471 1.307
O 2.231 1.471 3.301
O 3.160 0.000 1.268
O 2.231 -1.471 3.301

---

Computed relative energies in units of meV per atom: 1 52; 2 0